Record 1
First-principles (PBE) data for a relaxed structure of Zn3InAg6, as listed in Alexandria.

a b c (Å): 8.7345 4.3223 9.2316
angles (deg): 90.00 95.03 90.00
Last column: nearest neighbours and their distance in Å.
Sites, in units of the cell vectors:
Zn  0.0478  0.2500  0.3944  8 Ag 2.72-2.80
Zn  0.1526  0.7500  0.1829  8 Ag 2.72-2.79, 2 Zn 3.01
Zn  0.2502  0.2500  0.9829  10 Ag 2.78-2.93, 2 Zn 3.01
Zn  0.7498  0.7500  0.0171  10 Ag 2.78-2.93, 2 Zn 3.01
Zn  0.8474  0.2500  0.8171  8 Ag 2.72-2.79, 2 Zn 3.01
Zn  0.9522  0.7500  0.6056  8 Ag 2.72-2.80
In  0.4407  0.2500  0.6050  10 Ag 2.89-3.07, 2 In 3.14
In  0.5593  0.7500  0.3950  10 Ag 2.89-3.07, 2 In 3.14
Ag  0.0367  0.7500  0.8999  7 Zn 2.72-2.91, 5 Ag 2.89-3.01
Ag  0.1238  0.2500  0.6949  5 Zn 2.72-2.80, 4 Ag 2.94-3.01, 1 In 2.96
Ag  0.2271  0.7500  0.4806  4 Zn 2.75-2.77, 3 Ag 2.96-3.04, 3 In 3.02-3.07
Ag  0.3324  0.2500  0.2803  4 Zn 2.77-2.78, 5 Ag 3.00-3.04, 3 In 3.06
Ag  0.3375  0.7500  0.7927  8 Ag 2.83-3.02, 2 Zn 2.93, 2 In 2.96
Ag  0.4448  0.7500  0.0912  4 Zn 2.76-2.87, 7 Ag 2.83-3.01, 1 In 2.89
Ag  0.5552  0.2500  0.9088  4 Zn 2.76-2.87, 7 Ag 2.83-3.01, 1 In 2.89
Ag  0.6625  0.2500  0.2073  8 Ag 2.83-3.02, 2 Zn 2.93, 2 In 2.96
Ag  0.6676  0.7500  0.7197  4 Zn 2.77-2.78, 5 Ag 3.00-3.04, 3 In 3.06
Ag  0.7729  0.2500  0.5194  4 Zn 2.75-2.77, 3 Ag 2.96-3.04, 3 In 3.02-3.07
Ag  0.8762  0.7500  0.3051  5 Zn 2.72-2.80, 4 Ag 2.94-3.01, 1 In 2.96
Ag  0.9633  0.2500  0.1001  7 Zn 2.72-2.91, 5 Ag 2.89-3.01

## Properties
**Excess energy over the best structure of this formula in the dataset**: 0.000 eV per atom
**Final energy**: -47.743 eV per cell
**DFT formation energy**: -0.020 eV per atom
**Space group**: No. 11

---

Record 2
First-principles (PBE) data for a relaxed structure of BaP2SeI, as listed in Alexandria.

a b c (Å): 5.2642 5.2642 5.4993
angles (deg): 90.00 90.00 90.00
Last column: nearest neighbours and their distance in Å.
Sites, in units of the cell vectors:
Ba  0.0000  0.0000  0.0000  4 Se 3.72, 8 P 3.81
P  0.0000  0.5000  0.5000  2 I 2.63
P  0.5000  0.0000  0.5000  2 I 2.63
Se  0.5000  0.5000  0.0000  2 I 2.75
I  0.5000  0.5000  0.5000  4 P 2.63, 2 Se 2.75

## Properties
**Final energy**: -16.601 eV per cell
**Raw formation energy**: 0.235 eV per atom
**Space group**: No. 123

---

Record 3
First-principles (PBE) data for a relaxed structure of Cs2Rb2Bi3, as listed in Alexandria.

a b c (Å): 8.5626 8.5626 8.7233
angles (deg): 115.83 115.83 39.74
Last column: nearest neighbours and their distance in Å.
Sites, in units of the cell vectors:
Cs  0.1164  0.1164  0.2820  6 Bi 3.96-4.35, 2 Rb 4.07-4.25
Cs  0.8836  0.8836  0.7180  6 Bi 3.96-4.35, 2 Rb 4.07-4.25
Rb  0.1619  0.1619  0.7815  5 Bi 3.75-3.92, 1 Cs 4.07
Rb  0.8381  0.8381  0.2185  5 Bi 3.75-3.92, 1 Cs 4.07
Bi  0.4312  0.4312  0.0735  2 Bi 3.03-3.35
Bi  0.5000  0.5000  0.5000  2 Bi 3.35
Bi  0.5688  0.5688  0.9265  2 Bi 3.03-3.35

## Properties
**Final energy**: -17.507 eV per cell
**DFT formation energy**: -0.317 eV per atom
**Space group**: No. 12

---

Record 4
First-principles (PBE) data for a relaxed structure of AgB3As, as listed in Alexandria.

a b c (Å): 4.2432 4.2432 4.2432
angles (deg): 90.00 90.00 90.00
Last column: nearest neighbours and their distance in Å.
Sites, in units of the cell vectors:
Ag  0.0000  0.0000  0.0000  6 B 2.12
B  0.0000  0.0000  0.5000  2 Ag 2.12
B  0.0000  0.5000  0.0000  2 Ag 2.12
B  0.5000  0.0000  0.0000  2 Ag 2.12
As  0.5000  0.5000  0.5000  12 B 3.00

## Properties
**Excess energy over the best structure of this formula in the dataset**: 0.232 eV per atom
**Final energy**: -17.037 eV per cell
**DFT formation energy**: 2.099 eV per atom
**Space group**: No. 221

---

Record 5
First-principles (PBE) data for a relaxed structure of Al2CdAs, as listed in Alexandria.

a b c (Å): 10.3308 10.3308 10.3308
angles (deg): 16.60 16.60 16.60
Last column: nearest neighbours and their distance in Å.
Sites, in units of the cell vectors:
Al  0.0000  0.0000  0.0000  9 Al 2.78-2.98
Al  0.2621  0.2621  0.2621  3 As 2.74, 9 Al 2.78-2.98
Cd  0.7536  0.7536  0.7536  6 Cd 2.98, 3 Al 3.16
As  0.5258  0.5258  0.5258  3 Al 2.74, 6 As 2.98

## Properties
**Excess energy over the best structure of this formula in the dataset**: 0.053 eV per atom
**Final energy**: -12.630 eV per cell
**DFT formation energy**: 0.105 eV per atom
**Space group**: No. 160

---

Record 6
First-principles (PBE) data for a relaxed structure of Cr2AgAu9, as listed in Alexandria.

a b c (Å): 4.1336 4.1336 12.3860
angles (deg): 90.00 90.00 90.00
Last column: nearest neighbours and their distance in Å.
Sites, in units of the cell vectors:
Cr  0.0000  0.0000  0.1666  12 Au 2.89-2.92
Cr  0.0000  0.0000  0.8334  12 Au 2.89-2.92
Ag  0.0000  0.0000  0.5000  12 Au 2.92-2.95
Au  0.0000  0.5000  0.0000  8 Au 2.91-2.92, 4 Cr 2.92
Au  0.0000  0.5000  0.3295  2 Cr 2.89, 8 Au 2.90-2.95, 2 Ag 2.95
Au  0.0000  0.5000  0.6705  2 Cr 2.89, 8 Au 2.90-2.95, 2 Ag 2.95
Au  0.5000  0.0000  0.0000  8 Au 2.91-2.92, 4 Cr 2.92
Au  0.5000  0.0000  0.3295  2 Cr 2.89, 8 Au 2.90-2.95, 2 Ag 2.95
Au  0.5000  0.0000  0.6705  2 Cr 2.89, 8 Au 2.90-2.95, 2 Ag 2.95
Au  0.5000  0.5000  0.1654  8 Au 2.90-2.91, 4 Cr 2.92
Au  0.5000  0.5000  0.5000  4 Ag 2.92, 8 Au 2.95
Au  0.5000  0.5000  0.8346  8 Au 2.90-2.91, 4 Cr 2.92

## Properties
**Final energy**: -51.347 eV per cell
**DFT formation energy**: 0.021 eV per atom
**Space group**: No. 123

---

Record 7
First-principles (PBE) data for a relaxed structure of Pr2Er2Zn3, as listed in Alexandria.

a b c (Å): 5.0222 5.0222 8.8484
angles (deg): 106.32 106.32 60.17
Last column: nearest neighbours and their distance in Å.
Sites, in units of the cell vectors:
Pr  0.1257  0.1257  0.3776  5 Zn 3.14-3.27
Pr  0.8743  0.8743  0.6224  5 Zn 3.14-3.27
Er  0.3746  0.3746  0.1240  7 Zn 2.98-3.08
Er  0.6254  0.6254  0.8760  7 Zn 2.98-3.08
Zn  0.0000  0.0000  0.0000  6 Er 3.08, 2 Pr 3.16
Zn  0.2558  0.2558  0.7680  4 Er 2.98-3.04, 4 Pr 3.14-3.27
Zn  0.7442  0.7442  0.2320  4 Er 2.98-3.04, 4 Pr 3.14-3.27

## Properties
**Final energy**: -23.895 eV per cell
**DFT formation energy**: -0.198 eV per atom
**Space group**: No. 12

---

Record 8
First-principles (PBE) data for a relaxed structure of BeCrRu2, as listed in Alexandria.

a b c (Å): 2.7114 2.7114 6.4789
angles (deg): 90.00 90.00 90.00
Last column: nearest neighbours and their distance in Å.
Sites, in units of the cell vectors:
Be  0.0000  0.0000  0.0000  4 Ru 2.37, 4 Cr 2.39
Cr  0.5000  0.5000  0.2211  4 Be 2.39, 4 Ru 2.58
Ru  0.0000  0.0000  0.4887  4 Cr 2.58, 8 Ru 2.71
Ru  0.5000  0.5000  0.7844  4 Be 2.37

## Properties
**Final energy**: -31.743 eV per cell
**DFT formation energy**: 0.039 eV per atom
**Space group**: No. 99

---

Record 9
First-principles (PBE) data for a relaxed structure of SrAg2Os, as listed in Alexandria.

a b c (Å): 9.9235 9.9235 9.9235
angles (deg): 152.36 152.36 39.49
Last column: nearest neighbours and their distance in Å.
Sites, in units of the cell vectors:
Sr  0.0000  0.0000  0.0000  4 Ag 3.15, 4 Os 3.35
Sr  0.7500  0.2500  0.5000  4 Ag 3.15, 4 Os 3.35
Ag  0.2445  0.6250  0.1195  2 Ag 2.67, 2 Os 2.69
Ag  0.3750  0.4945  0.6195  2 Ag 2.67, 2 Os 2.69
Ag  0.5055  0.1250  0.8805  2 Ag 2.67, 2 Os 2.69
Ag  0.8750  0.7555  0.3805  2 Ag 2.67, 2 Os 2.69
Os  0.2500  0.7500  0.5000  4 Ag 2.69
Os  0.5000  0.5000  0.0000  4 Ag 2.69

## Properties
**Excess energy over the best structure of this formula in the dataset**: 0.256 eV per atom
**Final energy**: -30.369 eV per cell
**DFT formation energy**: 0.857 eV per atom
**Space group**: No. 122

---

Record 10
First-principles (PBE) data for a relaxed structure of CaAc2Si3Pd4, as listed in Alexandria.

a b c (Å): 4.4165 4.4165 10.8196
angles (deg): 90.00 90.00 90.00
Last column: nearest neighbours and their distance in Å.
Sites, in units of the cell vectors:
Ca  0.0000  0.0000  0.0000  4 Pd 2.79, 4 Si 3.12
Ac  0.0000  0.5000  0.7321  8 Pd 3.34, 6 Si 3.37-3.64, 2 Ca 3.64
Ac  0.5000  0.0000  0.2679  8 Pd 3.34, 6 Si 3.37-3.64, 2 Ca 3.64
Si  0.0000  0.5000  0.3859  5 Pd 2.47-2.53
Si  0.5000  0.0000  0.6142  5 Pd 2.47-2.53
Si  0.5000  0.5000  0.0000  4 Pd 2.79, 4 Ca 3.12
Pd  0.0000  0.0000  0.5000  4 Si 2.53
Pd  0.0000  0.5000  0.1577  1 Si 2.47
Pd  0.5000  0.0000  0.8423  1 Si 2.47
Pd  0.5000  0.5000  0.5000  4 Si 2.53

## Properties
**Final energy**: -55.234 eV per cell
**Raw formation energy**: -0.798 eV per atom
**Space group**: No. 115

---

Record 11
First-principles (PBE) data for a relaxed structure of TiV2GaN, as listed in Alexandria.

a b c (Å): 3.8917 3.8917 4.2359
angles (deg): 90.00 90.00 90.00
Last column: nearest neighbours and their distance in Å.
Sites, in units of the cell vectors:
Ti  0.0000  0.0000  0.0000  2 N 2.12
V  0.0000  0.5000  0.5000  2 N 1.95
V  0.5000  0.0000  0.5000  2 N 1.95
Ga  0.5000  0.5000  0.0000  4 Ti 2.75, 8 V 2.88
N  0.0000  0.0000  0.5000  4 V 1.95, 2 Ti 2.12

## Properties
**Final energy**: -41.081 eV per cell
**Raw formation energy**: -0.719 eV per atom
**Space group**: No. 123

---

Record 12
First-principles (PBE) data for a relaxed structure of La2SmTm4Sc, as listed in Alexandria.

a b c (Å): 9.4166 9.4166 9.4166
angles (deg): 138.09 102.79 91.97
Last column: nearest neighbours and their distance in Å.
Sites, in units of the cell vectors:
La  0.0000  0.0000  0.0000  6 Tm 3.28-3.40, 2 Sm 3.37
La  0.5000  0.0000  0.0000  2 La 3.37, 6 Tm 3.46-3.58
La  0.5000  0.0000  0.5000  6 Tm 3.28-3.40, 2 Sm 3.37
La  0.5000  0.5000  0.5000  2 La 3.37, 6 Tm 3.46-3.58
Sm  0.0000  0.5000  0.5000  6 Tm 3.28-3.39, 2 La 3.37
Sm  0.5000  0.5000  0.0000  6 Tm 3.28-3.39, 2 La 3.37
Tm  0.2314  0.7499  0.4815  2 Sc 3.20, 1 Sm 3.28, 3 La 3.28-3.58, 2 Tm 3.37
Tm  0.2316  0.2501  0.9815  2 Sc 3.20, 1 Sm 3.28, 3 La 3.28-3.58, 2 Tm 3.37
Tm  0.2354  0.2370  0.5015  1 Sc 3.08, 2 Tm 3.35-3.39, 2 Sm 3.39, 2 La 3.40
Tm  0.2354  0.7339  0.9985  1 Sc 3.08, 2 Tm 3.35-3.39, 2 Sm 3.39, 2 La 3.40
Tm  0.7646  0.2661  0.0015  1 Sc 3.08, 2 Tm 3.35-3.39, 2 Sm 3.39, 2 La 3.40
Tm  0.7646  0.7630  0.4985  1 Sc 3.08, 2 Tm 3.35-3.39, 2 Sm 3.39, 2 La 3.40
Tm  0.7684  0.7499  0.0185  2 Sc 3.20, 1 Sm 3.28, 3 La 3.28-3.58, 2 Tm 3.37
Tm  0.7686  0.2501  0.5185  2 Sc 3.20, 1 Sm 3.28, 3 La 3.28-3.58, 2 Tm 3.37
Sc  0.0000  0.0000  0.5000  6 Tm 3.08-3.20, 2 Sc 3.37
Sc  0.0000  0.5000  0.0000  6 Tm 3.08-3.20, 2 Sc 3.37

## Properties
**Final energy**: -71.084 eV per cell
**DFT formation energy**: 0.406 eV per atom
**Space group**: No. 74